Density functional theory data (PBE-GGA) for a relaxed structure of AlBiAu3.

The density of states at the Fermi level is 3.09 states/eV/f.u. The energy above the lowest structure with this stoichiometry comes out at 0.203 eV per formula unit. The total magnetization is 0.0 μB/f.u. As for the formation energy: -0.5 eV per formula unit. For the calculated density, the calculation gives 12.904 g/cm³.

The structure belongs to space group P6_3/mmc (No. 194); the cell edges are 6.5194, 6.5194 and 5.7811 Å and the angles 90.00°, 90.00° and 120.00°. The asymmetric unit holds Al at (0.0000, 0.0000, 0.0000), Bi at (0.3333, 0.6667, 0.2500) and Au at (0.1889, 0.3777, 0.7500).